Entry 1:
Entry from Alexandria via LeMat-Bulk: crystalline RuO at its relaxed geometry (GGA-PBE).

Cell and atoms, written as CIF:
```
data_RuO
_chemical_formula_sum 'Ru4 O4'
_cell_length_a 6.2782
_cell_length_b 6.2782
_cell_length_c 2.7565
_cell_angle_alpha 90.00
_cell_angle_beta 90.00
_cell_angle_gamma 90.00
_symmetry_space_group_name_H-M 'P 42/m n m'
_symmetry_Int_Tables_number 136
_symmetry_space_group_name_Hall '-P 4n 2n'
loop_
_atom_site_label
_atom_site_type_symbol
_atom_site_fract_x
_atom_site_fract_y
_atom_site_fract_z
Ru1 Ru 0.1408 0.1408 0.0000
O1 O 0.1857 0.8143 0.0000
```

Properties
The calculation puts the electronic total energy at -7.14 eV per atom. As for the calculated density: 7.16 g cm⁻³. The calculation puts the uncorrected formation energy at -0.021 eV per atom.



Entry 2:
Entry from Alexandria via LeMat-Bulk: crystalline RuO at its relaxed geometry (GGA-PBE).

Cell and atoms, written as CIF:
```
data_RuO
_chemical_formula_sum 'Ru6 O6'
_cell_length_a 8.3453
_cell_length_b 8.3453
_cell_length_c 2.8207
_cell_angle_alpha 90.00
_cell_angle_beta 90.00
_cell_angle_gamma 120.00
_symmetry_space_group_name_H-M 'P 63/m'
_symmetry_Int_Tables_number 176
_symmetry_space_group_name_Hall '-P 6c'
loop_
_atom_site_label
_atom_site_type_symbol
_atom_site_fract_x
_atom_site_fract_y
_atom_site_fract_z
Ru1 Ru 0.1695 0.6796 0.2500
O1 O 0.0392 0.3865 0.2500
```

Properties
The calculation puts the electronic total energy at -7.46 eV per atom. As for the calculated density: 6.86 g cm⁻³. The calculation puts the uncorrected formation energy at -0.345 eV per atom.



Entry 3:
Entry from Alexandria via LeMat-Bulk: crystalline RuO at its relaxed geometry (GGA-PBE).

Cell and atoms, written as CIF:
```
data_RuO
_chemical_formula_sum 'Ru6 O6'
_cell_length_a 2.7353
_cell_length_b 10.9918
_cell_length_c 5.0722
_cell_angle_alpha 90.00
_cell_angle_beta 90.00
_cell_angle_gamma 90.00
_symmetry_space_group_name_H-M 'P m m n'
_symmetry_Int_Tables_number 59
loop_
_symmetry_equiv_pos_as_xyz
'x,y,z'
'-x,-y,-z'
'-x+1/2,-y+1/2,z'
'x+1/2,y+1/2,-z'
'x+1/2,-y,-z'
'-x+1/2,y,z'
'-x,y+1/2,-z'
'x,-y+1/2,z'
loop_
_atom_site_label
_atom_site_type_symbol
_atom_site_fract_x
_atom_site_fract_y
_atom_site_fract_z
Ru1 Ru 0.2500 0.1317 0.0919
Ru2 Ru 0.2500 0.7500 0.2796
O1 O 0.2500 0.2500 0.4084
O2 O 0.2500 0.5654 0.1773
```

Properties
The calculation puts the electronic total energy at -7.37 eV per atom. As for the calculated density: 7.65 g cm⁻³. The calculation puts the uncorrected formation energy at -0.258 eV per atom.



Entry 4:
Entry from Alexandria via LeMat-Bulk: crystalline RuO at its relaxed geometry (GGA-PBE).

Cell and atoms, written as CIF:
```
data_RuO
_chemical_formula_sum 'Ru16 O16'
_cell_length_a 2.8109
_cell_length_b 10.1460
_cell_length_c 12.6687
_cell_angle_alpha 90.00
_cell_angle_beta 90.00
_cell_angle_gamma 90.00
_symmetry_space_group_name_H-M 'F d d d'
_symmetry_Int_Tables_number 70
loop_
_symmetry_equiv_pos_as_xyz
'x,y,z'
'-x,-y,-z'
'-x+1/4,-y+1/4,z'
'x+1/4,y+1/4,-z'
'x,-y+1/4,-z+1/4'
'-x,y+1/4,z+1/4'
'-x+1/4,y,-z+1/4'
'x+1/4,-y,z+1/4'
'x,y+1/2,z+1/2'
'-x,-y+1/2,-z+1/2'
'-x+1/4,-y+3/4,z+1/2'
'x+1/4,y+3/4,-z+1/2'
'x,-y+3/4,-z+3/4'
'-x,y+3/4,z+3/4'
'-x+1/4,y+1/2,-z+3/4'
'x+1/4,-y+1/2,z+3/4'
'x+1/2,y,z+1/2'
'-x+1/2,-y,-z+1/2'
'-x+3/4,-y+1/4,z+1/2'
'x+3/4,y+1/4,-z+1/2'
'x+1/2,-y+1/4,-z+3/4'
'-x+1/2,y+1/4,z+3/4'
'-x+3/4,y,-z+3/4'
'x+3/4,-y,z+3/4'
'x+1/2,y+1/2,z'
'-x+1/2,-y+1/2,-z'
'-x+3/4,-y+3/4,z'
'x+3/4,y+3/4,-z'
'x+1/2,-y+3/4,-z+1/4'
'-x+1/2,y+3/4,z+1/4'
'-x+3/4,y+1/2,-z+1/4'
'x+3/4,-y+1/2,z+1/4'
loop_
_atom_site_label
_atom_site_type_symbol
_atom_site_fract_x
_atom_site_fract_y
_atom_site_fract_z
Ru1 Ru 0.1250 0.1250 0.2531
O1 O 0.1250 0.2518 0.1250
```

Properties
The calculation puts the electronic total energy at -7.09 eV per atom. As for the calculated density: 8.61 g cm⁻³. The calculation puts the uncorrected formation energy at 0.027 eV per atom.



Entry 5:
Entry from Alexandria via LeMat-Bulk: crystalline RuO at its relaxed geometry (GGA-PBE).

Cell and atoms, written as CIF:
```
data_RuO
_chemical_formula_sum 'Ru6 O6'
_cell_length_a 8.1347
_cell_length_b 3.6969
_cell_length_c 4.9231
_cell_angle_alpha 90.00
_cell_angle_beta 90.00
_cell_angle_gamma 90.00
_symmetry_space_group_name_H-M 'P m n 21'
_symmetry_Int_Tables_number 31
_symmetry_space_group_name_Hall 'P 2ac -2'
loop_
_atom_site_label
_atom_site_type_symbol
_atom_site_fract_x
_atom_site_fract_y
_atom_site_fract_z
Ru1 Ru 0.0000 0.1281 0.0000
Ru2 Ru 0.2075 0.6253 0.8155
O1 O 0.0000 0.4060 0.6686
O2 O 0.1836 0.8740 0.1966
```

Properties
The calculation puts the electronic total energy at -7.30 eV per atom. As for the calculated density: 7.88 g cm⁻³. The calculation puts the uncorrected formation energy at -0.181 eV per atom.



Entry 6:
Entry from Alexandria via LeMat-Bulk: crystalline RuO at its relaxed geometry (GGA-PBE).

Cell and atoms, written as CIF:
```
data_RuO
_chemical_formula_sum 'Ru8 O8'
_cell_length_a 6.5478
_cell_length_b 6.5478
_cell_length_c 6.5478
_cell_angle_alpha 90.00
_cell_angle_beta 90.00
_cell_angle_gamma 90.00
_symmetry_space_group_name_H-M 'I -4 3 m'
_symmetry_Int_Tables_number 217
_symmetry_space_group_name_Hall 'I -4 2 3'
loop_
_atom_site_label
_atom_site_type_symbol
_atom_site_fract_x
_atom_site_fract_y
_atom_site_fract_z
Ru1 Ru 0.1336 0.1336 0.8664
O1 O 0.1945 0.1945 0.1945
```

Properties
The calculation puts the electronic total energy at -6.87 eV per atom. As for the calculated density: 5.54 g cm⁻³. The calculation puts the uncorrected formation energy at 0.252 eV per atom.



Entry 7:
Entry from Alexandria via LeMat-Bulk: crystalline RuO at its relaxed geometry (GGA-PBE).

Cell and atoms, written as CIF:
```
data_RuO
_chemical_formula_sum 'Ru2 O2'
_cell_length_a 2.7623
_cell_length_b 2.7623
_cell_length_c 6.7590
_cell_angle_alpha 90.00
_cell_angle_beta 90.00
_cell_angle_gamma 120.00
_symmetry_space_group_name_H-M 'P 63 m c'
_symmetry_Int_Tables_number 186
_symmetry_space_group_name_Hall 'P 6c -2c'
loop_
_atom_site_label
_atom_site_type_symbol
_atom_site_fract_x
_atom_site_fract_y
_atom_site_fract_z
Ru1 Ru 0.3333 0.6667 0.0000
O1 O 0.3333 0.6667 0.7058
```

Properties
The calculation puts the electronic total energy at -7.40 eV per atom. As for the calculated density: 8.71 g cm⁻³. The calculation puts the uncorrected formation energy at -0.282 eV per atom.



Entry 8:
Entry from Alexandria via LeMat-Bulk: crystalline RuO2 at its relaxed geometry (GGA-PBE).

Cell and atoms, written as CIF:
```
data_RuO2
_chemical_formula_sum 'Ru2 O4'
_cell_length_a 4.5389
_cell_length_b 4.5531
_cell_length_c 3.1360
_cell_angle_alpha 90.00
_cell_angle_beta 90.00
_cell_angle_gamma 90.00
_symmetry_space_group_name_H-M 'P n n m'
_symmetry_Int_Tables_number 58
_symmetry_space_group_name_Hall '-P 2 2n'
loop_
_atom_site_label
_atom_site_type_symbol
_atom_site_fract_x
_atom_site_fract_y
_atom_site_fract_z
Ru1 Ru 0.0000 0.0000 0.0000
O1 O 0.1951 0.1933 0.5000
```

Properties
The calculation puts the electronic total energy at -7.38 eV per atom. As for the calculated density: 6.82 g cm⁻³. The calculation puts the uncorrected formation energy at -0.985 eV per atom.



Q: Which formula does entry 3 have?
A: RuO